1.
Here is a geometry-optimized SrLi2Rh structure from Alexandria. Energies are from GGA-PBE.

Unit cell a=8.3373 b=4.0557 c=5.3283 alpha=90.00 beta=110.03 gamma=90.00
Space group C2/m (No. 12)
One atom of each set of equivalent atoms:
Sr (0.0000, 0.0000, 0.0000) (multiplicity 2)
Li (0.2020, 0.0000, 0.6121) (multiplicity 4)
Rh (0.0000, 0.5000, 0.5000) (multiplicity 2)

Energy of formation from the pure elements   -0.057 eV per atom
Polymorph energy (0 for the lowest one)   0.086 eV/atom
Total magnetization   0.00 Bohr magnetons per cell

2.
Here is a geometry-optimized SrLi2Rh structure from Alexandria. Energies are from GGA-PBE.

Unit cell a=4.8734 b=4.8734 c=7.0910 alpha=90.00 beta=90.00 gamma=90.00
Space group I-4m2 (No. 119)
One atom of each set of equivalent atoms:
Sr (0.0000, 0.0000, 0.0000) (multiplicity 2)
Li (0.0000, 0.0000, 0.5000) (multiplicity 2)
Li (0.0000, 0.5000, 0.7500) (multiplicity 2)
Rh (0.0000, 0.5000, 0.2500) (multiplicity 2)

Energy of formation from the pure elements   0.011 eV per atom
Polymorph energy (0 for the lowest one)   0.155 eV/atom
Total magnetization   0.00 Bohr magnetons per cell

3.
Here is a geometry-optimized SrLi2Rh structure from Alexandria. Energies are from GGA-PBE.

Unit cell a=6.7558 b=6.7558 c=6.7558 alpha=90.00 beta=90.00 gamma=90.00
Space group Fm-3m (No. 225)
One atom of each set of equivalent atoms:
Sr (0.0000, 0.0000, 0.0000) (multiplicity 4)
Li (0.2500, 0.2500, 0.2500) (multiplicity 8)
Rh (0.0000, 0.0000, 0.5000) (multiplicity 4)

Energy of formation from the pure elements   -0.010 eV per atom
Polymorph energy (0 for the lowest one)   0.133 eV/atom
Total magnetization   0.00 Bohr magnetons per cell

4.
Here is a geometry-optimized SrLiRh2 structure from Alexandria. Energies are from GGA-PBE.

Unit cell a=3.0406 b=4.4327 c=5.5926 alpha=90.00 beta=100.72 gamma=90.00
Space group Pm (No. 6)
One atom of each set of equivalent atoms:
Sr (0.0000, 0.0000, 0.0000) (multiplicity 1)
Li (0.5927, 0.5000, 0.2811) (multiplicity 1)
Rh (0.2193, 0.5000, 0.6413) (multiplicity 1)
Rh (0.6468, 0.0000, 0.5096) (multiplicity 1)

Energy of formation from the pure elements   0.069 eV per atom
Total magnetization   0.00 Bohr magnetons per cell

5.
Here is a geometry-optimized SrLiRh4 structure from Alexandria. Energies are from GGA-PBE.

Unit cell a=7.5353 b=7.5353 c=7.5353 alpha=90.00 beta=90.00 gamma=90.00
Space group F-43m (No. 216)
One atom of each set of equivalent atoms:
Sr (0.0000, 0.0000, 0.0000) (multiplicity 4)
Li (0.2500, 0.2500, 0.7500) (multiplicity 4)
Rh (0.1244, 0.1244, 0.3756) (multiplicity 16)

Energy of formation from the pure elements   -0.071 eV per atom
Total magnetization   0.08 Bohr magnetons per cell

6.
Here is a geometry-optimized SrLiRh2 structure from Alexandria. Energies are from GGA-PBE.

Unit cell a=3.0150 b=4.3670 c=5.6725 alpha=90.00 beta=102.40 gamma=90.00
Space group P2/m (No. 10)
One atom of each set of equivalent atoms:
Sr (0.0000, 0.0000, 0.0000) (multiplicity 1)
Li (0.5000, 0.0000, 0.5000) (multiplicity 1)
Rh (0.3258, 0.5000, 0.6962) (multiplicity 2)

Energy of formation from the pure elements   0.020 eV per atom
Total magnetization   0.00 Bohr magnetons per cell

7.
Here is a geometry-optimized SrLi6Rh6 structure from Alexandria. Energies are from GGA-PBE.

Unit cell a=5.1684 b=9.0049 c=9.0386 alpha=90.00 beta=90.00 gamma=90.00
Space group Immm (No. 71)
One atom of each set of equivalent atoms:
Sr (0.0000, 0.0000, 0.0000) (multiplicity 2)
Li (0.0000, 0.0000, 0.3554) (multiplicity 4)
Li (0.0000, 0.3402, 0.0000) (multiplicity 4)
Li (0.0000, 0.5000, 0.2963) (multiplicity 4)
Rh (0.0000, 0.2608, 0.5000) (multiplicity 4)
Rh (0.2500, 0.2500, 0.2500) (multiplicity 8)

Energy of formation from the pure elements   -0.172 eV per atom
Total magnetization   6.20 Bohr magnetons per cell

8.
Here is a geometry-optimized SrLiRh2 structure from Alexandria. Energies are from GGA-PBE.

Unit cell a=3.1070 b=3.1070 c=25.9207 alpha=90.00 beta=90.00 gamma=120.00
Space group R-3m (No. 166, hexagonal axes)
One atom of each set of equivalent atoms:
Sr (0.0000, 0.0000, 0.0000) (multiplicity 3)
Li (0.0000, 0.0000, 0.5000) (multiplicity 3)
Rh (0.0000, 0.0000, 0.2421) (multiplicity 6)

Energy of formation from the pure elements   0.303 eV per atom
Total magnetization   1.62 Bohr magnetons per cell

9.
Here is a geometry-optimized Sr4Li3Rh2 structure from Alexandria. Energies are from GGA-PBE.

Unit cell a=16.8052 b=4.3795 c=7.4131 alpha=90.00 beta=108.13 gamma=90.00
Space group C2/m (No. 12)
One atom of each set of equivalent atoms:
Sr (0.0640, 0.0000, 0.3296) (multiplicity 4)
Sr (0.2325, 0.5000, 0.1937) (multiplicity 4)
Li (0.0000, 0.5000, 0.0000) (multiplicity 2)
Li (0.1000, 0.5000, 0.7555) (multiplicity 4)
Rh (0.1059, 0.0000, 0.9621) (multiplicity 4)

Energy of formation from the pure elements   -0.134 eV per atom
Total magnetization   0.00 Bohr magnetons per cell

10.
Here is a geometry-optimized SrLi2Rh structure from Alexandria. Energies are from GGA-PBE.

Unit cell a=3.4549 b=4.9972 c=10.1254 alpha=90.00 beta=90.00 gamma=90.00
Space group Immm (No. 71)
One atom of each set of equivalent atoms:
Sr (0.0000, 0.0000, 0.0000) (multiplicity 2)
Li (0.0000, 0.5000, 0.2015) (multiplicity 4)
Rh (0.0000, 0.0000, 0.5000) (multiplicity 2)

Energy of formation from the pure elements   -0.052 eV per atom
Polymorph energy (0 for the lowest one)   0.092 eV/atom
Total magnetization   0.00 Bohr magnetons per cell

11.
Here is a geometry-optimized SrLi3Rh structure from Alexandria. Energies are from GGA-PBE.

Unit cell a=4.8387 b=4.8387 c=4.8387 alpha=90.00 beta=90.00 gamma=90.00
Space group Pm-3m (No. 221)
One atom of each set of equivalent atoms:
Sr (0.0000, 0.0000, 0.0000) (multiplicity 1)
Li (0.0000, 0.5000, 0.5000) (multiplicity 3)
Rh (0.5000, 0.5000, 0.5000) (multiplicity 1)

Energy of formation from the pure elements   0.019 eV per atom
Polymorph energy (0 for the lowest one)   0.102 eV/atom
Total magnetization   0.00 Bohr magnetons per cell

12.
Here is a geometry-optimized Sr2Li2Rh structure from Alexandria. Energies are from GGA-PBE.

Unit cell a=7.2273 b=7.2273 c=4.9384 alpha=90.00 beta=90.00 gamma=90.00
Space group P4/mbm (No. 127)
One atom of each set of equivalent atoms:
Sr (0.1953, 0.3047, 0.0000) (multiplicity 4)
Li (0.1372, 0.6372, 0.5000) (multiplicity 4)
Rh (0.0000, 0.0000, 0.5000) (multiplicity 2)

Energy of formation from the pure elements   0.085 eV per atom
Polymorph energy (0 for the lowest one)   0.153 eV/atom
Total magnetization   0.00 Bohr magnetons per cell

13.
Here is a geometry-optimized SrLiRh2 structure from Alexandria. Energies are from GGA-PBE.

Unit cell a=4.6962 b=4.6962 c=6.6690 alpha=90.00 beta=90.00 gamma=90.00
Space group I-4m2 (No. 119)
One atom of each set of equivalent atoms:
Sr (0.0000, 0.0000, 0.0000) (multiplicity 2)
Li (0.0000, 0.5000, 0.7500) (multiplicity 2)
Rh (0.0000, 0.0000, 0.5000) (multiplicity 2)
Rh (0.0000, 0.5000, 0.2500) (multiplicity 2)

Energy of formation from the pure elements   0.090 eV per atom
Total magnetization   1.69 Bohr magnetons per cell

14.
Here is a geometry-optimized SrLi4Rh2 structure from Alexandria. Energies are from GGA-PBE.

Unit cell a=6.7034 b=6.7034 c=5.3127 alpha=90.00 beta=90.00 gamma=90.00
Space group I4/mmm (No. 139)
One atom of each set of equivalent atoms:
Sr (0.0000, 0.0000, 0.0000) (multiplicity 2)
Li (0.1986, 0.1986, 0.5000) (multiplicity 8)
Rh (0.0000, 0.5000, 0.2500) (multiplicity 4)

Energy of formation from the pure elements   -0.089 eV per atom
Total magnetization   1.32 Bohr magnetons per cell